# TbY2MgHg4

Crystalline TbY2MgHg4 at its relaxed geometry (PBE-GGA, the Alexandria database).

Cell and atoms, written as POSCAR:
```
TbY2MgHg4
1.0
-3.827 1.418 -3.166
-1.765 -3.301 -3.560
-7.619 -3.611 3.378
Tb Y Mg Hg
1 2 1 4
direct
0.000 0.000 0.000
0.755 0.755 0.735
0.245 0.245 0.265
0.500 0.500 0.500
0.373 0.373 0.880
0.875 0.875 0.374
0.125 0.125 0.626
0.627 0.627 0.120
```

## Properties
calculated total energy: -24.16 eV per cell
density: 9.7 g cm⁻³